Entry 1:
VASP calculation (GGA-PBE) on a relaxed structure of Ca4Sn3Au.

Cell: 3.5492 3.5492 17.2066 Å, 90.00 90.00 90.00°
Fractional positions:
Ca1 0.0000 0.0000 0.8918
Ca2 0.0000 0.0000 0.1082
Ca3 0.0000 0.0000 0.3675
Ca4 0.0000 0.0000 0.6325
Au1 0.5000 0.5000 0.0000
Sn1 0.5000 0.5000 0.2376
Sn2 0.5000 0.5000 0.5000
Sn3 0.5000 0.5000 0.7624

As for the symmetry: No. 123. The calculation puts the total magnetization at 0.0 Bohr magnetons per cell. The total energy comes out at -3.582 eV per atom. The energy above the most stable polymorph in this dataset is 0 meV per atom.

---

Entry 2:
VASP calculation (GGA-PBE) on a relaxed structure of KSrCa2Zn.

Cell: 5.9403 5.9403 6.4880 Å, 90.00 90.00 90.00°
Fractional positions:
K1 0.0000 0.0000 0.5000
Sr1 0.5000 0.5000 0.5000
Zn1 0.0000 0.0000 0.0000
Ca1 0.0000 0.5000 0.0000
Ca2 0.5000 0.0000 0.0000

As for the symmetry: No. 123. The calculation puts the total magnetization at 0.0 Bohr magnetons per cell. The total energy comes out at -1.494 eV per atom. The energy above the most stable polymorph in this dataset is 90 meV per atom.

---

Entry 3:
VASP calculation (GGA-PBE) on a relaxed structure of YSc2TlCo.

Cell: 4.8343 4.8343 5.2096 Å, 90.00 90.00 90.00°
Fractional positions:
Y1 0.0000 0.0000 0.5000
Sc1 0.0000 0.5000 0.0000
Sc2 0.5000 0.0000 0.0000
Tl1 0.5000 0.5000 0.5000
Co1 0.0000 0.0000 0.0000

As for the symmetry: No. 123. The calculation puts the total magnetization at 0.0 Bohr magnetons per cell. The total energy comes out at -5.863 eV per atom.

---

Entry 4:
VASP calculation (GGA-PBE) on a relaxed structure of YMo.

Cell: 9.6097 9.6097 4.7220 Å, 90.00 90.00 90.00°
Fractional positions:
Y1 0.7291 0.6907 0.5000
Y2 0.2709 0.3093 0.5000
Y3 0.3093 0.7291 0.5000
Y4 0.6907 0.2709 0.5000
Y5 0.0036 0.3196 0.0000
Y6 0.9964 0.6804 0.0000
Y7 0.6804 0.0036 0.0000
Y8 0.3196 0.9964 0.0000
Mo1 0.8839 0.4572 0.5000
Mo2 0.1161 0.5428 0.5000
Mo3 0.5428 0.8839 0.5000
Mo4 0.4572 0.1161 0.5000
Mo5 0.6917 0.4853 0.0000
Mo6 0.3083 0.5147 0.0000
Mo7 0.5147 0.6917 0.0000
Mo8 0.4853 0.3083 0.0000

As for the symmetry: No. 83. The calculation puts the total magnetization at 0.0 Bohr magnetons per cell. The total energy comes out at -8.043 eV per atom. The energy above the most stable polymorph in this dataset is 469 meV per atom.

---

Entry 5:
VASP calculation (GGA-PBE) on a relaxed structure of TiAlCdCl2.

Cell: 4.7402 5.8266 4.7402 Å, 90.00 90.00 90.00°
Fractional positions:
Cl1 0.0000 0.0000 0.5000
Cl2 0.5000 0.0000 0.0000
Ti1 0.0000 0.5000 0.0000
Al1 0.0000 0.0000 0.0000
Cd1 0.5000 0.5000 0.5000

As for the symmetry: No. 123. The calculation puts the total magnetization at 2.8 Bohr magnetons per cell. The total energy comes out at -3.136 eV per atom. The raw formation energy comes out at 0.11 eV/atom.

---

Entry 6:
VASP calculation (GGA-PBE) on a relaxed structure of GdPtAu.

Cell: 3.4910 4.6469 4.6469 Å, 120.00 90.00 90.00°
Fractional positions:
Gd1 0.6665 0.6667 0.3333
Au1 0.1661 0.0000 0.0000
Pt1 0.1674 0.3333 0.6667

As for the symmetry: No. 187. The calculation puts the total magnetization at 7.1 Bohr magnetons per cell. The total energy comes out at -8.631 eV per atom. The energy above the most stable polymorph in this dataset is 61 meV per atom.

---

Entry 7:
VASP calculation (GGA-PBE) on a relaxed structure of NpSc2BiO8.

Cell: 4.9559 4.9549 6.8583 Å, 90.00 90.00 89.88°
Fractional positions:
Np1 0.0000 0.0000 0.0000
Sc1 0.5000 0.5000 0.7348
Sc2 0.5000 0.5000 0.2652
Bi1 0.0000 0.0000 0.5000
O1 0.1979 0.8014 0.2218
O2 0.7133 0.7139 0.0000
O3 0.8021 0.1986 0.2218
O4 0.8021 0.1986 0.7782
O5 0.2867 0.2861 0.0000
O6 0.1979 0.8014 0.7782
O7 0.6767 0.6774 0.5000
O8 0.3233 0.3226 0.5000

As for the symmetry: No. 65. The calculation puts the total magnetization at 0.1 Bohr magnetons per cell. The total energy comes out at -8.398 eV per atom. The raw formation energy comes out at -2.64 eV/atom.

---

Entry 8:
VASP calculation (GGA-PBE) on a relaxed structure of DySc4Tl2.

Cell: 4.0571 4.0571 11.5359 Å, 100.13 100.13 90.00°
Fractional positions:
Dy1 0.0000 0.0000 0.0000
Sc1 0.1385 0.1385 0.2770
Sc2 0.8615 0.8615 0.7230
Sc3 0.7500 0.2500 0.5000
Sc4 0.2500 0.7500 0.5000
Tl1 0.5846 0.5846 0.1692
Tl2 0.4154 0.4154 0.8308

As for the symmetry: No. 139. The calculation puts the total magnetization at 0.4 Bohr magnetons per cell. The total energy comes out at -4.819 eV per atom. The energy above the most stable polymorph in this dataset is 0 meV per atom.

---

Entry 9:
VASP calculation (GGA-PBE) on a relaxed structure of Fe3Re.

Cell: 4.4493 4.4493 2.5757 Å, 90.00 90.00 109.95°
Fractional positions:
Fe1 0.0000 0.0000 0.0000
Fe2 0.0000 0.5000 0.5000
Fe3 0.5000 0.0000 0.5000
Re1 0.5000 0.5000 0.0000

As for the symmetry: No. 65. The calculation puts the total magnetization at 0.4 Bohr magnetons per cell. The total energy comes out at -9.336 eV per atom.

---

Entry 10:
VASP calculation (GGA-PBE) on a relaxed structure of Nd4GeC.

Cell: 6.0904 7.5524 9.7150 Å, 90.00 90.00 128.31°
Fractional positions:
Nd1 0.5854 0.7061 0.7500
Nd2 0.4146 0.2939 0.2500
Nd3 0.4134 0.1201 0.7500
Nd4 0.5866 0.8799 0.2500
Nd5 0.0005 0.7386 0.0432
Nd6 0.9995 0.2614 0.5432
Nd7 0.0005 0.7386 0.4568
Nd8 0.9995 0.2614 0.9568
Ge1 0.9995 0.5795 0.7500
Ge2 0.0005 0.4205 0.2500
C1 0.9993 0.0880 0.7500
C2 0.0007 0.9120 0.2500

As for the symmetry: No. 11. The calculation puts the total magnetization at 0.0 Bohr magnetons per cell. The total energy comes out at -5.710 eV per atom.

---

Entry 11:
VASP calculation (GGA-PBE) on a relaxed structure of Pm2Dy2Sc.

Cell: 8.6439 9.0184 6.3995 Å, 69.66 47.52 59.02°
Fractional positions:
Pm1 0.0411 0.2128 0.6307
Pm2 0.3283 0.7872 0.6307
Pm3 0.9589 0.7872 0.3693
Pm4 0.6717 0.2128 0.3693
Dy1 0.2638 0.0794 0.0000
Dy2 0.7362 0.9206 0.0000
Dy3 0.5949 0.6173 0.0000
Dy4 0.4051 0.3827 0.0000
Sc1 0.1581 0.5000 0.6838
Sc2 0.8419 0.5000 0.3162

As for the symmetry: No. 12. The calculation puts the total magnetization at 0.0 Bohr magnetons per cell. The total energy comes out at -4.910 eV per atom. The energy above the most stable polymorph in this dataset is 0 meV per atom.

---

Entry 12:
VASP calculation (GGA-PBE) on a relaxed structure of CrMo2Os.

Cell: 4.3887 4.3887 3.0386 Å, 90.00 90.00 90.00°
Fractional positions:
Cr1 0.0000 0.5000 0.5000
Mo1 0.0000 0.0000 0.0000
Mo2 0.5000 0.5000 0.0000
Os1 0.5000 0.0000 0.5000

As for the symmetry: No. 123. The calculation puts the total magnetization at 0.0 Bohr magnetons per cell. The total energy comes out at -10.445 eV per atom. The energy above the most stable polymorph in this dataset is 67 meV per atom.

---

Entry 13:
VASP calculation (GGA-PBE) on a relaxed structure of TmReSi3Ni.

Cell: 5.3852 6.1185 7.3631 Å, 114.55 90.00 90.00°
Fractional positions:
Tm1 0.7500 0.3010 0.6019
Tm2 0.2500 0.6990 0.3981
Re1 0.2500 0.0563 0.1127
Re2 0.7500 0.9437 0.8873
Si1 0.2500 0.2276 0.4553
Si2 0.0000 0.3046 0.0000
Si3 0.5000 0.6954 0.0000
Si4 0.5000 0.3046 0.0000
Si5 0.0000 0.6954 0.0000
Si6 0.7500 0.7724 0.5447
Ni1 0.2500 0.3899 0.7798
Ni2 0.7500 0.6101 0.2202

As for the symmetry: No. 63. The calculation puts the total magnetization at 0.0 Bohr magnetons per cell. The total energy comes out at -6.743 eV per atom. The raw formation energy comes out at -0.25 eV/atom.

---

Entry 14:
VASP calculation (GGA-PBE) on a relaxed structure of Ti2AlO.

Cell: 6.1105 6.1105 5.4441 Å, 55.86 55.86 90.00°
Fractional positions:
Al1 0.0000 0.0000 0.0000
Al2 0.7500 0.2500 0.5000
O1 0.5000 0.5000 0.0000
O2 0.2500 0.7500 0.5000
Ti1 0.5181 0.1250 0.2500
Ti2 0.2319 0.6250 0.2500
Ti3 0.3750 0.4819 0.7500
Ti4 0.8750 0.7681 0.7500

As for the symmetry: No. 122. The calculation puts the total magnetization at 0.0 Bohr magnetons per cell. The total energy comes out at -7.236 eV per atom. The energy above the most stable polymorph in this dataset is 340 meV per atom. The raw formation energy comes out at -1.11 eV/atom.

---

Entry 15:
VASP calculation (GGA-PBE) on a relaxed structure of MgTc2O6.

Cell: 5.6624 7.1761 7.1761 Å, 84.19 78.97 78.97°
Fractional positions:
Mg1 0.2500 0.0890 0.9110
Mg2 0.7500 0.9110 0.0890
Tc1 0.0964 0.6265 0.8279
Tc2 0.4036 0.1721 0.3735
Tc3 0.9036 0.3735 0.1721
Tc4 0.5964 0.8279 0.6265
O1 0.3793 0.6674 0.6422
O2 0.1207 0.3578 0.3326
O3 0.6207 0.3326 0.3578
O4 0.8793 0.6422 0.6674
O5 0.7034 0.9383 0.3856
O6 0.7966 0.6144 0.0617
O7 0.2966 0.0617 0.6144
O8 0.2034 0.3856 0.9383
O9 0.1195 0.8328 0.9479
O10 0.3805 0.0521 0.1672
O11 0.8805 0.1672 0.0521
O12 0.6195 0.9479 0.8328

As for the symmetry: No. 15. The calculation puts the total magnetization at 0.0 Bohr magnetons per cell. The total energy comes out at -7.379 eV per atom. The raw formation energy comes out at -1.59 eV/atom.

---

Entry 16:
VASP calculation (GGA-PBE) on a relaxed structure of CeBIrRh2.

Cell: 4.2075 4.2691 4.2691 Å, 90.00 90.00 90.00°
Fractional positions:
Ce1 0.5000 0.5000 0.5000
B1 0.0000 0.0000 0.0000
Ir1 0.5000 0.0000 0.0000
Rh1 0.0000 0.0000 0.5000
Rh2 0.0000 0.5000 0.0000

As for the symmetry: No. 123. The calculation puts the total magnetization at 0.3 Bohr magnetons per cell. The total energy comes out at -7.950 eV per atom.

---

Entry 17:
VASP calculation (GGA-PBE) on a relaxed structure of ErMgCu.

Cell: 3.3261 3.3261 6.2106 Å, 105.53 105.53 90.00°
Fractional positions:
Mg1 0.0280 0.0280 0.0560
Cu1 0.6609 0.6609 0.3219
Er1 0.3111 0.3111 0.6221

As for the symmetry: No. 107. The calculation puts the total magnetization at 0.0 Bohr magnetons per cell. The total energy comes out at -3.532 eV per atom.

---

Entry 18:
VASP calculation (GGA-PBE) on a relaxed structure of CdSbPd2C.

Cell: 5.0194 5.2991 5.0194 Å, 90.00 90.00 90.00°
Fractional positions:
Sb1 0.0000 0.5000 0.0000
C1 0.5000 0.5000 0.5000
Pd1 0.0000 0.0000 0.5000
Pd2 0.5000 0.0000 0.0000
Cd1 0.0000 0.0000 0.0000

As for the symmetry: No. 123. The calculation puts the total magnetization at 1.0 Bohr magnetons per cell. The total energy comes out at -2.830 eV per atom. The raw formation energy comes out at 2.10 eV/atom.

---

Entry 19:
VASP calculation (GGA-PBE) on a relaxed structure of HfFeRu2S.

Cell: 4.2953 4.6901 4.2953 Å, 90.00 90.00 90.00°
Fractional positions:
Ru1 0.0000 0.0000 0.5000
Ru2 0.5000 0.0000 0.0000
S1 0.0000 0.0000 0.0000
Hf1 0.0000 0.5000 0.0000
Fe1 0.5000 0.5000 0.5000

As for the symmetry: No. 123. The calculation puts the total magnetization at 3.2 Bohr magnetons per cell. The total energy comes out at -7.916 eV per atom. The raw formation energy comes out at 0.30 eV/atom.

---

Entry 20:
VASP calculation (GGA-PBE) on a relaxed structure of Tb8Ho2In.

Cell: 5.3456 8.3175 9.0036 Å, 114.83 107.27 90.00°
Fractional positions:
Tb1 0.3933 0.5673 0.7866
Tb2 0.6693 0.9044 0.3387
Tb3 0.8408 0.7984 0.6817
Tb4 0.9802 0.2723 0.9604
Tb5 0.1592 0.2016 0.3183
Tb6 0.3307 0.0956 0.6613
Tb7 0.6067 0.4327 0.2134
Tb8 0.0198 0.7277 0.0396
Ho1 0.8002 0.3507 0.6004
Ho2 0.1998 0.6493 0.3996
In1 0.5000 0.0000 0.0000

As for the symmetry: No. 12. The calculation puts the total magnetization at 0.0 Bohr magnetons per cell. The total energy comes out at -4.454 eV per atom.

---

Entry 21:
VASP calculation (GGA-PBE) on a relaxed structure of LiSm6Se8.

Cell: 8.2885 8.2885 8.2885 Å, 60.00 60.00 60.00°
Fractional positions:
Li1 0.0000 0.0000 0.0000
Sm1 0.0000 0.5000 0.5000
Sm2 0.5000 0.0000 0.0000
Sm3 0.5000 0.5000 0.0000
Sm4 0.0000 0.0000 0.5000
Sm5 0.0000 0.5000 0.0000
Sm6 0.5000 0.0000 0.5000
Se1 0.7500 0.7500 0.7500
Se2 0.2500 0.2500 0.2500
Se3 0.7547 0.2453 0.2453
Se4 0.2453 0.7547 0.7547
Se5 0.2453 0.2453 0.7547
Se6 0.7547 0.7547 0.2453
Se7 0.7547 0.2453 0.7547
Se8 0.2453 0.7547 0.2453

As for the symmetry: No. 225. The calculation puts the total magnetization at 0.0 Bohr magnetons per cell. The total energy comes out at -5.687 eV per atom. The raw formation energy comes out at -1.81 eV/atom.

---

Entry 22:
VASP calculation (GGA-PBE) on a relaxed structure of HPd3Se.

Cell: 6.4024 6.6357 6.8680 Å, 102.52 90.00 90.00°
Fractional positions:
H1 0.7423 0.6001 0.2648
H2 0.2577 0.3999 0.7352
H3 0.2423 0.3999 0.2352
H4 0.7577 0.6001 0.7648
Pd1 0.9857 0.7598 0.2661
Pd2 0.0143 0.2402 0.7339
Pd3 0.4857 0.2402 0.2339
Pd4 0.5143 0.7598 0.7661
Pd5 0.5228 0.7822 0.3393
Pd6 0.4772 0.2178 0.6607
Pd7 0.0228 0.2178 0.1607
Pd8 0.9772 0.7822 0.8393
Pd9 0.2229 0.5087 0.5093
Pd10 0.7771 0.4913 0.4907
Pd11 0.7229 0.4913 0.9907
Pd12 0.2771 0.5087 0.0093
Se1 0.2131 0.9020 0.5841
Se2 0.7869 0.0980 0.4159
Se3 0.7131 0.0980 0.9159
Se4 0.2869 0.9020 0.0841

As for the symmetry: No. 14. The calculation puts the total magnetization at 0.0 Bohr magnetons per cell. The total energy comes out at -4.594 eV per atom. The energy above the most stable polymorph in this dataset is 0 meV per atom.

---

Entry 23:
VASP calculation (GGA-PBE) on a relaxed structure of BeAsOs2.

Cell: 3.9720 3.9720 8.3048 Å, 76.16 76.16 90.00°
Fractional positions:
Be1 0.5000 0.5000 0.0000
Be2 0.2500 0.7500 0.5000
As1 0.0000 0.0000 0.0000
As2 0.7500 0.2500 0.5000
Os1 0.5637 0.1250 0.2500
Os2 0.1863 0.6250 0.2500
Os3 0.3750 0.4363 0.7500
Os4 0.8750 0.8137 0.7500

As for the symmetry: No. 122. The calculation puts the total magnetization at 0.0 Bohr magnetons per cell. The total energy comes out at -7.182 eV per atom. The energy above the most stable polymorph in this dataset is 402 meV per atom.

---

Entry 24:
VASP calculation (GGA-PBE) on a relaxed structure of Sm3Dy4Ho3.

Cell: 3.6881 9.3832 9.3832 Å, 90.19 90.00 90.00°
Fractional positions:
Sm1 0.5000 0.8275 0.1725
Sm2 0.5000 0.3264 0.3273
Sm3 0.5000 0.6727 0.6736
Dy1 0.0000 0.6262 0.3738
Dy2 0.0000 0.3730 0.6270
Dy3 0.0000 0.8760 0.8728
Dy4 0.0000 0.1272 0.1240
Ho1 0.0000 0.4964 0.9987
Ho2 0.0000 0.0013 0.5036
Ho3 0.5000 0.1732 0.8268

As for the symmetry: No. 38. The calculation puts the total magnetization at 0.0 Bohr magnetons per cell. The total energy comes out at -4.532 eV per atom.